1.
{"formula": "BaY2Pt", "functional": "PBE-GGA", "state": "relaxed", "delta_e_f_ev_per_fu": -1.77, "polymorph_energy_ev_per_fu": 0.38, "density_kg_m3": 6510, "e_tot_ev_per_atom": -5.666, "lattice_angstrom": [[-3.602, -5.833, 0.208], [-0.125, -6.764, 1.128], [-1.873, -1.676, 5.384]], "species": ["Y", "Y", "Ba", "Pt"], "frac_coords": [[0.935, 0.935, 0.065], [0.565, 0.565, 0.435], [0.750, 0.750, 0.750], [0.250, 0.250, 0.250]]}

2.
{"formula": "InAgGeF6", "functional": "PBE-GGA", "state": "relaxed", "raw_formation_energy_ev_per_atom": -2.0141, "density_kg_m3": 4183, "e_tot_ev_per_atom": -4.396, "lattice_angstrom": [[6.029, 0.063, 0.019], [3.069, 5.187, -0.018], [0.014, -0.023, 5.228]], "species": ["Ag", "F", "F", "F", "F", "F", "F", "In", "Ge"], "frac_coords": [[0.663, 0.663, 0.499], [0.592, 0.074, 0.300], [0.335, 0.583, 0.298], [0.582, 0.336, 0.702], [0.336, 0.084, 0.702], [0.084, 0.335, 0.298], [0.074, 0.592, 0.700], [0.999, 0.999, 0.000], [0.334, 0.334, 0.500]]}

3.
{"formula": "Ba2SiTePt", "functional": "PBE-GGA", "state": "relaxed", "raw_formation_energy_ev_per_atom": -0.2636, "density_kg_m3": 5290, "e_tot_ev_per_atom": -3.954, "lattice_angstrom": [[-0.209, 4.280, 4.501], [-4.789, 1.119, -1.286], [-2.073, -4.294, 3.986]], "species": ["Ba", "Ba", "Pt", "Te", "Si"], "frac_coords": [[0.000, 0.000, 0.500], [0.500, 0.000, 0.000], [0.000, 0.000, 0.000], [0.000, 0.500, 0.000], [0.500, 0.500, 0.500]]}

4.
{"formula": "Tl2Hg16Pb", "functional": "PBE-GGA", "state": "relaxed", "delta_e_f_ev_per_fu": 0.32, "density_kg_m3": 11734, "e_tot_ev_per_atom": -0.682, "lattice_angstrom": [[8.282, 0.729, 1.745], [1.559, 8.167, 1.745], [0.806, 0.729, 8.426]], "species": ["Hg", "Hg", "Hg", "Hg", "Hg", "Hg", "Hg", "Hg", "Hg", "Hg", "Hg", "Hg", "Hg", "Hg", "Hg", "Hg", "Tl", "Tl", "Pb"], "frac_coords": [[0.340, 0.340, 0.927], [0.595, 0.595, 0.245], [0.319, 0.003, 0.687], [0.003, 0.687, 0.319], [0.101, 0.101, 0.101], [0.939, 0.939, 0.559], [0.245, 0.595, 0.595], [0.559, 0.939, 0.939], [0.687, 0.003, 0.319], [0.340, 0.927, 0.340], [0.927, 0.340, 0.340], [0.319, 0.687, 0.003], [0.687, 0.319, 0.003], [0.003, 0.319, 0.687], [0.939, 0.559, 0.939], [0.595, 0.245, 0.595], [0.636, 0.636, 0.636], [0.331, 0.331, 0.331], [0.932, 0.932, 0.932]]}

5.
{"formula": "HoEr3Tm5", "functional": "PBE-GGA", "state": "relaxed", "delta_e_f_ev_per_fu": 4.84, "polymorph_energy_ev_per_fu": 3.63, "density_kg_m3": 8024, "e_tot_ev_per_atom": -3.976, "lattice_angstrom": [[9.216, -0.041, 1.531], [2.483, 8.875, 1.531], [5.486, 4.143, 9.074]], "species": ["Tm", "Tm", "Tm", "Tm", "Tm", "Tm", "Tm", "Tm", "Tm", "Tm", "Er", "Er", "Er", "Er", "Er", "Er", "Ho", "Ho"], "frac_coords": [[0.150, 0.652, 0.750], [0.261, 0.739, 0.000], [0.652, 0.150, 0.750], [0.511, 0.511, 0.769], [0.489, 0.489, 0.231], [0.850, 0.348, 0.250], [0.348, 0.850, 0.250], [0.186, 0.186, 0.035], [0.739, 0.261, 0.000], [0.814, 0.814, 0.965], [0.657, 0.657, 0.366], [0.698, 0.698, 0.813], [0.000, 0.000, 0.000], [0.343, 0.343, 0.634], [0.302, 0.302, 0.187], [0.000, 0.000, 0.500], [0.854, 0.854, 0.398], [0.146, 0.146, 0.602]]}

6.
{"formula": "Sr2TiBe2O6", "functional": "PBE-GGA", "state": "relaxed", "raw_formation_energy_ev_per_atom": -2.8508, "density_kg_m3": 4322, "e_tot_ev_per_atom": -7.256, "lattice_angstrom": [[5.371, 0.000, 0.000], [2.685, 4.651, 0.000], [2.685, 1.550, 5.185]], "species": ["O", "O", "O", "O", "O", "O", "Be", "Be", "Sr", "Sr", "Ti"], "frac_coords": [[0.246, 0.246, 0.766], [0.259, 0.754, 0.234], [0.246, 0.741, 0.766], [0.754, 0.754, 0.234], [0.741, 0.246, 0.766], [0.754, 0.259, 0.234], [0.415, 0.415, 0.756], [0.585, 0.585, 0.244], [0.779, 0.779, 0.663], [0.221, 0.221, 0.337], [0.000, 0.000, 0.000]]}

7.
{"formula": "Na2AgHSe", "functional": "PBE-GGA", "state": "relaxed", "density_kg_m3": 4412, "e_tot_ev_per_atom": -2.894, "lattice_angstrom": [[4.683, 0.000, 0.000], [0.000, 4.683, 0.000], [0.000, 0.000, 4.012]], "species": ["H", "Na", "Na", "Se", "Ag"], "frac_coords": [[0.000, 0.000, 0.000], [0.500, 0.000, 0.000], [0.000, 0.500, 0.000], [0.500, 0.500, 0.500], [0.000, 0.000, 0.500]]}

8.
{"formula": "Y4ScCu5", "functional": "PBE-GGA", "state": "relaxed", "delta_e_f_ev_per_fu": -2.45, "density_kg_m3": 5869, "e_tot_ev_per_atom": -5.512, "lattice_angstrom": [[-1.727, 1.136, 2.729], [2.395, -1.314, 2.063], [8.778, 14.944, -0.668]], "species": ["Y", "Y", "Y", "Y", "Sc", "Cu", "Cu", "Cu", "Cu", "Cu"], "frac_coords": [[0.000, 0.000, 0.807], [0.000, 0.000, 0.193], [0.000, 0.000, 0.602], [0.000, 0.000, 0.398], [0.000, 0.000, 0.000], [0.500, 0.500, 0.705], [0.500, 0.500, 0.295], [0.500, 0.500, 0.915], [0.500, 0.500, 0.500], [0.500, 0.500, 0.085]]}

9.
{"formula": "Nd2ErTmBi5", "functional": "PBE-GGA", "state": "relaxed", "delta_e_f_ev_per_fu": -1.18, "density_kg_m3": 8034, "e_tot_ev_per_atom": -4.351, "lattice_angstrom": [[-1.284, -5.232, -0.202], [2.800, -0.862, 4.525], [-9.745, 2.145, 6.437]], "species": ["Bi", "Bi", "Bi", "Bi", "Bi", "Nd", "Nd", "Er", "Tm"], "frac_coords": [[0.500, 0.500, 0.000], [0.000, 0.000, 0.754], [0.000, 0.500, 0.500], [0.500, 0.000, 0.500], [0.000, 0.000, 0.246], [0.500, 0.500, 0.725], [0.500, 0.500, 0.275], [0.000, 0.000, 0.000], [0.000, 0.000, 0.500]]}

10.
{"formula": "Nd7Tl3O2", "functional": "PBE-GGA", "state": "relaxed", "raw_formation_energy_ev_per_atom": -1.1551, "density_kg_m3": 8839, "e_tot_ev_per_atom": -5.354, "lattice_angstrom": [[-4.176, 2.372, 0.866], [-2.397, -3.049, -3.208], [-1.363, -6.448, 11.097]], "species": ["Nd", "Nd", "Nd", "Nd", "Nd", "Nd", "Nd", "Tl", "Tl", "Tl", "O", "O"], "frac_coords": [[0.500, 0.905, 0.809], [0.000, 0.602, 0.205], [0.000, 0.000, 0.000], [0.000, 0.398, 0.795], [0.000, 0.799, 0.598], [0.500, 0.095, 0.191], [0.000, 0.201, 0.402], [0.500, 0.500, 0.000], [0.500, 0.307, 0.614], [0.500, 0.693, 0.386], [0.000, 0.100, 0.200], [0.000, 0.900, 0.800]]}

11.
{"formula": "ZrScCd2", "functional": "PBE-GGA", "state": "relaxed", "delta_e_f_ev_per_fu": -0.67, "polymorph_energy_ev_per_fu": 0.03, "density_kg_m3": 6858, "e_tot_ev_per_atom": -4.344, "lattice_angstrom": [[-2.081, -1.630, 4.664], [3.512, -4.422, -4.461], [2.864, -0.940, 0.952]], "species": ["Cd", "Cd", "Zr", "Sc"], "frac_coords": [[0.000, 0.000, 0.000], [0.000, 0.500, 0.500], [0.500, 0.000, 0.500], [0.500, 0.500, 0.000]]}

12.
{"formula": "Cu15Ni4Rh", "functional": "PBE-GGA", "state": "relaxed", "delta_e_f_ev_per_fu": 0.41, "density_kg_m3": 9081, "e_tot_ev_per_atom": -4.575, "lattice_angstrom": [[3.623, 0.000, 0.000], [0.000, 3.623, 0.000], [0.000, 0.000, 17.983]], "species": ["Cu", "Cu", "Cu", "Cu", "Cu", "Cu", "Cu", "Cu", "Cu", "Cu", "Cu", "Cu", "Cu", "Cu", "Cu", "Ni", "Ni", "Ni", "Ni", "Rh"], "frac_coords": [[0.000, 0.500, 0.894], [0.500, 0.500, 0.599], [0.500, 0.000, 0.894], [0.500, 0.000, 0.697], [0.500, 0.000, 0.303], [0.000, 0.500, 0.303], [0.000, 0.500, 0.106], [0.500, 0.500, 0.000], [0.500, 0.500, 0.795], [0.000, 0.500, 0.500], [0.000, 0.500, 0.697], [0.500, 0.000, 0.106], [0.500, 0.500, 0.205], [0.500, 0.500, 0.401], [0.500, 0.000, 0.500], [0.000, 0.000, 0.402], [0.000, 0.000, 0.204], [0.000, 0.000, 0.796], [0.000, 0.000, 0.598], [0.000, 0.000, 0.000]]}

13.
{"formula": "SrZn2Cu2", "functional": "PBE-GGA", "state": "relaxed", "delta_e_f_ev_per_fu": -0.69, "polymorph_energy_ev_per_fu": 0.04, "density_kg_m3": 5927, "e_tot_ev_per_atom": -2.621, "lattice_angstrom": [[-2.396, 2.785, 2.225], [-1.801, -3.259, 2.141], [1.661, 0.082, 5.830]], "species": ["Zn", "Zn", "Cu", "Cu", "Sr"], "frac_coords": [[0.750, 0.250, 0.500], [0.250, 0.750, 0.500], [0.381, 0.381, 0.238], [0.619, 0.619, 0.762], [0.000, 0.000, 0.000]]}

14.
{"formula": "K4S12Cl", "functional": "PBE-GGA", "state": "relaxed", "raw_formation_energy_ev_per_atom": -0.4290, "density_kg_m3": 1744, "e_tot_ev_per_atom": -3.709, "lattice_angstrom": [[-2.130, 1.448, 8.555], [-7.161, 1.457, -5.140], [2.716, -8.452, -1.003]], "species": ["S", "S", "S", "S", "S", "S", "S", "S", "S", "S", "S", "S", "K", "K", "K", "K", "Cl"], "frac_coords": [[0.406, 0.533, 0.127], [0.279, 0.873, 0.406], [0.721, 0.127, 0.594], [0.873, 0.406, 0.279], [0.127, 0.594, 0.721], [0.467, 0.873, 0.594], [0.873, 0.594, 0.467], [0.594, 0.721, 0.127], [0.533, 0.127, 0.406], [0.406, 0.279, 0.873], [0.594, 0.467, 0.873], [0.127, 0.406, 0.533], [0.500, 0.500, 0.500], [0.500, 0.000, 0.000], [0.000, 0.500, 0.000], [0.000, 0.000, 0.500], [0.000, 0.000, 0.000]]}